No. 1
Compound: SiTcHIr2
Source: the Alexandria database
Functional: PBE-GGA
Structure: relaxed

```
data_SiTcHIr2
_cell_length_a 4.706
_cell_length_b 4.706
_cell_length_c 4.678
_cell_angle_alpha 90.00
_cell_angle_beta 90.00
_cell_angle_gamma 90.00
_symmetry_space_group_name_H-M 'P 1'
_symmetry_Int_Tables_number 1
_symmetry_space_group_name_Hall 'P 1'
loop_
_atom_site_label
_atom_site_type_symbol
_atom_site_fract_x
_atom_site_fract_y
_atom_site_fract_z
Si1 Si 0.000 0.000 0.000
Tc1 Tc 0.000 0.000 0.500
H1 H 0.500 0.500 0.000
Ir1 Ir 0.000 0.500 0.500
Ir2 Ir 0.500 0.000 0.500
```

Calculated values
Its symmetry is P4/mmm. As for the spin magnetization: 0.9 μB per formula unit. As for the calculated total energy: -5.53 eV/atom.

---

No. 2
Compound: Tl2SiHIr
Source: the Alexandria database
Functional: PBE-GGA
Structure: relaxed

```
data_Tl2SiHIr
_cell_length_a 5.315
_cell_length_b 5.315
_cell_length_c 4.518
_cell_angle_alpha 90.00
_cell_angle_beta 90.00
_cell_angle_gamma 90.00
_symmetry_space_group_name_H-M 'P 1'
_symmetry_Int_Tables_number 1
_symmetry_space_group_name_Hall 'P 1'
loop_
_atom_site_label
_atom_site_type_symbol
_atom_site_fract_x
_atom_site_fract_y
_atom_site_fract_z
Tl1 Tl 0.000 0.500 0.000
Tl2 Tl 0.500 0.000 0.000
Si1 Si 0.000 0.000 0.500
H1 H 0.500 0.500 0.500
Ir1 Ir 0.000 0.000 0.000
```

Calculated values
Its symmetry is P4/mmm. As for the spin magnetization: 0.0 μB per formula unit. As for the calculated total energy: -4.11 eV/atom.

---

No. 3
Compound: TmSiHIr
Source: the Alexandria database
Functional: PBE-GGA
Structure: relaxed

```
data_TmSiHIr
_cell_length_a 4.020
_cell_length_b 4.020
_cell_length_c 7.042
_cell_angle_alpha 90.00
_cell_angle_beta 90.00
_cell_angle_gamma 90.00
_symmetry_space_group_name_H-M 'P 1'
_symmetry_Int_Tables_number 1
_symmetry_space_group_name_Hall 'P 1'
loop_
_atom_site_label
_atom_site_type_symbol
_atom_site_fract_x
_atom_site_fract_y
_atom_site_fract_z
Tm1 Tm 0.250 0.250 0.153
Tm2 Tm 0.750 0.750 0.847
Si1 Si 0.250 0.250 0.689
Si2 Si 0.750 0.750 0.311
H1 H 0.250 0.750 0.000
H2 H 0.750 0.250 0.000
Ir1 Ir 0.250 0.750 0.500
Ir2 Ir 0.750 0.250 0.500
```

Calculated values
Its symmetry is P4/nmm. As for the spin magnetization: 0.0 μB per formula unit. As for the calculated total energy: -6.42 eV/atom.

---

No. 4
Compound: YSiHIr2
Source: the Alexandria database
Functional: PBE-GGA
Structure: relaxed

```
data_YSiHIr2
_cell_length_a 5.669
_cell_length_b 5.669
_cell_length_c 7.129
_cell_angle_alpha 90.00
_cell_angle_beta 90.00
_cell_angle_gamma 140.52
_symmetry_space_group_name_H-M 'P 1'
_symmetry_Int_Tables_number 1
_symmetry_space_group_name_Hall 'P 1'
loop_
_atom_site_label
_atom_site_type_symbol
_atom_site_fract_x
_atom_site_fract_y
_atom_site_fract_z
Y1 Y 0.056 0.944 0.750
Y2 Y 0.944 0.056 0.250
Si1 Si 0.224 0.776 0.250
Si2 Si 0.776 0.224 0.750
H1 H 0.500 0.500 0.000
H2 H 0.500 0.500 0.500
Ir1 Ir 0.340 0.660 0.555
Ir2 Ir 0.340 0.660 0.945
Ir3 Ir 0.660 0.340 0.055
Ir4 Ir 0.660 0.340 0.445
```

Calculated values
Its symmetry is Cmcm. As for the spin magnetization: 0.0 μB per formula unit. As for the calculated total energy: -7.34 eV/atom.

---

No. 5
Compound: YSiHIr
Source: the Alexandria database
Functional: PBE-GGA
Structure: relaxed

```
data_YSiHIr
_cell_length_a 4.041
_cell_length_b 4.041
_cell_length_c 7.226
_cell_angle_alpha 90.00
_cell_angle_beta 90.00
_cell_angle_gamma 90.00
_symmetry_space_group_name_H-M 'P 1'
_symmetry_Int_Tables_number 1
_symmetry_space_group_name_Hall 'P 1'
loop_
_atom_site_label
_atom_site_type_symbol
_atom_site_fract_x
_atom_site_fract_y
_atom_site_fract_z
Y1 Y 0.250 0.250 0.155
Y2 Y 0.750 0.750 0.845
Si1 Si 0.250 0.250 0.682
Si2 Si 0.750 0.750 0.318
H1 H 0.250 0.750 0.000
H2 H 0.750 0.250 0.000
Ir1 Ir 0.250 0.750 0.500
Ir2 Ir 0.750 0.250 0.500
```

Calculated values
Its symmetry is P4/nmm. As for the spin magnetization: 0.0 μB per formula unit. As for the calculated total energy: -6.94 eV/atom.

---

No. 6
Compound: Zr2SiHIr6
Source: the Alexandria database
Functional: PBE-GGA
Structure: relaxed

```
data_Zr2SiHIr6
_cell_length_a 5.946
_cell_length_b 5.946
_cell_length_c 5.683
_cell_angle_alpha 118.47
_cell_angle_beta 118.47
_cell_angle_gamma 87.79
_symmetry_space_group_name_H-M 'P 1'
_symmetry_Int_Tables_number 1
_symmetry_space_group_name_Hall 'P 1'
loop_
_atom_site_label
_atom_site_type_symbol
_atom_site_fract_x
_atom_site_fract_y
_atom_site_fract_z
Zr1 Zr 0.227 0.773 0.000
Zr2 Zr 0.773 0.227 0.000
Si1 Si 0.000 0.000 0.500
H1 H 0.500 0.500 0.500
Ir1 Ir 0.270 0.730 0.500
Ir2 Ir 0.284 0.284 0.033
Ir3 Ir 0.285 0.285 0.537
Ir4 Ir 0.715 0.715 0.463
Ir5 Ir 0.716 0.716 0.967
Ir6 Ir 0.730 0.270 0.500
```

Calculated values
Its symmetry is C2/m. As for the spin magnetization: 0.0 μB per formula unit. As for the calculated total energy: -8.34 eV/atom.

---

No. 7
Compound: SmH6Ir
Source: the Alexandria database
Functional: PBE-GGA
Structure: relaxed

```
data_SmH6Ir
_cell_length_a 4.683
_cell_length_b 4.683
_cell_length_c 4.683
_cell_angle_alpha 57.66
_cell_angle_beta 57.66
_cell_angle_gamma 57.66
_symmetry_space_group_name_H-M 'P 1'
_symmetry_Int_Tables_number 1
_symmetry_space_group_name_Hall 'P 1'
loop_
_atom_site_label
_atom_site_type_symbol
_atom_site_fract_x
_atom_site_fract_y
_atom_site_fract_z
Sm1 Sm 0.000 0.000 0.000
H1 H 0.065 0.601 0.601
H2 H 0.399 0.399 0.935
H3 H 0.399 0.935 0.399
H4 H 0.601 0.065 0.601
H5 H 0.601 0.601 0.065
H6 H 0.935 0.399 0.399
Ir1 Ir 0.500 0.500 0.500
```

Calculated values
Its symmetry is R-3m. As for the spin magnetization: 0.0 μB per formula unit. As for the calculated total energy: -4.68 eV/atom.

---

No. 8
Compound: SmH4Ir
Source: the Alexandria database
Functional: PBE-GGA
Structure: relaxed

```
data_SmH4Ir
_cell_length_a 4.522
_cell_length_b 4.522
_cell_length_c 4.522
_cell_angle_alpha 127.88
_cell_angle_beta 118.93
_cell_angle_gamma 84.39
_symmetry_space_group_name_H-M 'P 1'
_symmetry_Int_Tables_number 1
_symmetry_space_group_name_Hall 'P 1'
loop_
_atom_site_label
_atom_site_type_symbol
_atom_site_fract_x
_atom_site_fract_y
_atom_site_fract_z
Sm1 Sm 0.000 0.000 0.000
H1 H 0.063 0.327 0.735
H2 H 0.408 0.673 0.735
H3 H 0.592 0.327 0.265
H4 H 0.937 0.673 0.265
Ir1 Ir 0.500 0.500 0.000
```

Calculated values
Its symmetry is Immm. As for the spin magnetization: 0.0 μB per formula unit. As for the calculated total energy: -4.99 eV/atom.

---

No. 9
Compound: SmH2Ir
Source: the Alexandria database
Functional: PBE-GGA
Structure: relaxed

```
data_SmH2Ir
_cell_length_a 4.472
_cell_length_b 4.472
_cell_length_c 4.472
_cell_angle_alpha 54.61
_cell_angle_beta 54.61
_cell_angle_gamma 54.61
_symmetry_space_group_name_H-M 'P 1'
_symmetry_Int_Tables_number 1
_symmetry_space_group_name_Hall 'P 1'
loop_
_atom_site_label
_atom_site_type_symbol
_atom_site_fract_x
_atom_site_fract_y
_atom_site_fract_z
Sm1 Sm 0.000 0.000 0.000
H1 H 0.352 0.352 0.352
H2 H 0.648 0.648 0.648
Ir1 Ir 0.500 0.500 0.500
```

Calculated values
Its symmetry is R-3m. As for the spin magnetization: 0.0 μB per formula unit. As for the calculated total energy: -5.52 eV/atom.

---

No. 10
Compound: SmH8Ir2
Source: the Alexandria database
Functional: PBE-GGA
Structure: relaxed

```
data_SmH8Ir2
_cell_length_a 4.446
_cell_length_b 4.446
_cell_length_c 4.867
_cell_angle_alpha 90.00
_cell_angle_beta 90.00
_cell_angle_gamma 90.00
_symmetry_space_group_name_H-M 'P 1'
_symmetry_Int_Tables_number 1
_symmetry_space_group_name_Hall 'P 1'
loop_
_atom_site_label
_atom_site_type_symbol
_atom_site_fract_x
_atom_site_fract_y
_atom_site_fract_z
Sm1 Sm 0.000 0.000 0.000
H1 H 0.280 0.280 0.311
H2 H 0.280 0.280 0.689
H3 H 0.280 0.720 0.311
H4 H 0.280 0.720 0.689
H5 H 0.720 0.280 0.311
H6 H 0.720 0.280 0.689
H7 H 0.720 0.720 0.311
H8 H 0.720 0.720 0.689
Ir1 Ir 0.000 0.500 0.500
Ir2 Ir 0.500 0.000 0.500
```

Calculated values
Its symmetry is P4/mmm. As for the spin magnetization: 0.0 μB per formula unit. As for the calculated total energy: -4.57 eV/atom.

---

No. 11
Compound: Sm3H12Ir5
Source: the Alexandria database
Functional: PBE-GGA
Structure: relaxed

```
data_Sm3H12Ir5
_cell_length_a 10.219
_cell_length_b 10.219
_cell_length_c 10.219
_cell_angle_alpha 109.47
_cell_angle_beta 109.47
_cell_angle_gamma 109.47
_symmetry_space_group_name_H-M 'P 1'
_symmetry_Int_Tables_number 1
_symmetry_space_group_name_Hall 'P 1'
loop_
_atom_site_label
_atom_site_type_symbol
_atom_site_fract_x
_atom_site_fract_y
_atom_site_fract_z
Sm1 Sm 0.125 0.250 0.375
Sm2 Sm 0.125 0.375 0.750
Sm3 Sm 0.250 0.375 0.125
Sm4 Sm 0.250 0.875 0.625
Sm5 Sm 0.375 0.125 0.250
Sm6 Sm 0.375 0.750 0.125
Sm7 Sm 0.625 0.250 0.875
Sm8 Sm 0.625 0.875 0.750
Sm9 Sm 0.750 0.125 0.375
Sm10 Sm 0.750 0.625 0.875
Sm11 Sm 0.875 0.625 0.250
Sm12 Sm 0.875 0.750 0.625
H1 H 0.010 0.188 0.098
H2 H 0.010 0.322 0.912
H3 H 0.088 0.598 0.410
H4 H 0.088 0.990 0.678
H5 H 0.090 0.688 0.678
H6 H 0.090 0.902 0.412
H7 H 0.098 0.010 0.188
H8 H 0.098 0.588 0.910
H9 H 0.178 0.188 0.590
H10 H 0.178 0.490 0.588
H11 H 0.188 0.098 0.010
H12 H 0.188 0.590 0.178
H13 H 0.312 0.322 0.910
H14 H 0.312 0.490 0.402
H15 H 0.322 0.910 0.312
H16 H 0.322 0.912 0.010
H17 H 0.402 0.312 0.490
H18 H 0.402 0.590 0.912
H19 H 0.410 0.088 0.598
H20 H 0.410 0.822 0.812
H21 H 0.412 0.090 0.902
H22 H 0.412 0.822 0.510
H23 H 0.490 0.402 0.312
H24 H 0.490 0.588 0.178
H25 H 0.510 0.412 0.822
H26 H 0.510 0.598 0.688
H27 H 0.588 0.178 0.490
H28 H 0.588 0.910 0.098
H29 H 0.590 0.178 0.188
H30 H 0.590 0.912 0.402
H31 H 0.598 0.410 0.088
H32 H 0.598 0.688 0.510
H33 H 0.678 0.088 0.990
H34 H 0.678 0.090 0.688
H35 H 0.688 0.510 0.598
H36 H 0.688 0.678 0.090
H37 H 0.812 0.410 0.822
H38 H 0.812 0.902 0.990
H39 H 0.822 0.510 0.412
H40 H 0.822 0.812 0.410
H41 H 0.902 0.412 0.090
H42 H 0.902 0.990 0.812
H43 H 0.910 0.098 0.588
H44 H 0.910 0.312 0.322
H45 H 0.912 0.010 0.322
H46 H 0.912 0.402 0.590
H47 H 0.990 0.678 0.088
H48 H 0.990 0.812 0.902
Ir1 Ir 0.000 0.000 0.000
Ir2 Ir 0.000 0.000 0.500
Ir3 Ir 0.000 0.500 0.000
Ir4 Ir 0.000 0.500 0.500
Ir5 Ir 0.125 0.750 0.875
Ir6 Ir 0.125 0.875 0.250
Ir7 Ir 0.250 0.125 0.875
Ir8 Ir 0.250 0.625 0.375
Ir9 Ir 0.375 0.250 0.625
Ir10 Ir 0.375 0.625 0.750
Ir11 Ir 0.500 0.000 0.000
Ir12 Ir 0.500 0.000 0.500
Ir13 Ir 0.500 0.500 0.000
Ir14 Ir 0.500 0.500 0.500
Ir15 Ir 0.625 0.375 0.250
Ir16 Ir 0.625 0.750 0.375
Ir17 Ir 0.750 0.375 0.625
Ir18 Ir 0.750 0.875 0.125
Ir19 Ir 0.875 0.125 0.750
Ir20 Ir 0.875 0.250 0.125
```

Calculated values
Its symmetry is Ia-3d. As for the spin magnetization: 0.0 μB per formula unit. As for the calculated total energy: -5.13 eV/atom.

---

No. 12
Compound: SmHIr
Source: the Alexandria database
Functional: PBE-GGA
Structure: relaxed

```
data_SmHIr
_cell_length_a 3.957
_cell_length_b 3.957
_cell_length_c 3.620
_cell_angle_alpha 90.00
_cell_angle_beta 90.00
_cell_angle_gamma 120.00
_symmetry_space_group_name_H-M 'P 1'
_symmetry_Int_Tables_number 1
_symmetry_space_group_name_Hall 'P 1'
loop_
_atom_site_label
_atom_site_type_symbol
_atom_site_fract_x
_atom_site_fract_y
_atom_site_fract_z
Sm1 Sm 0.000 0.000 0.000
H1 H 0.333 0.667 0.500
Ir1 Ir 0.667 0.333 0.500
```

Calculated values
Its symmetry is P-6m2. As for the spin magnetization: 0.0 μB per formula unit. As for the calculated total energy: -5.85 eV/atom.